# 1
Ac2Cu4Ge3As PBE relaxed; total magnetic moment = 0.000 μB/f.u.; space group = P-4m2; uncorrected energy = -4.82 eV per atom; mass density = 8.50 g/cm³
1.0
4.396 0.000 0.000
0.000 4.396 0.000
0.000 0.000 10.120
Ac Cu Ge As
2 4 3 1
Direct
0.000 0.500 0.244 Ac
0.500 0.000 0.756 Ac
0.000 0.000 0.000 Cu
0.000 0.500 0.626 Cu
0.500 0.000 0.374 Cu
0.500 0.500 0.000 Cu
0.000 0.500 0.874 Ge
0.500 0.000 0.126 Ge
0.500 0.500 0.500 Ge
0.000 0.000 0.500 As

***

# 2
AcCuAsH2 PBE relaxed; total magnetic moment = 0.000 μB/f.u.; space group = P4mm; uncorrected energy = -4.19 eV per atom; mass density = 6.91 g/cm³
1.0
4.192 0.000 0.000
0.000 4.192 0.000
0.000 0.000 5.029
Ac Cu As H
1 1 1 2
Direct
0.000 0.000 0.000 Ac
0.500 0.500 0.316 Cu
0.500 0.500 0.804 As
0.000 0.500 0.297 H
0.500 0.000 0.297 H

***

# 3
AcCu2AsH2 PBE relaxed; total magnetic moment = 0.000 μB/f.u.; space group = P2_1/m; uncorrected energy = -4.39 eV per atom; mass density = 7.44 g/cm³
1.0
6.548 0.000 0.000
0.000 4.955 0.000
-2.896 0.000 5.927
Ac Cu As H
2 4 2 4
Direct
0.174 0.250 0.324 Ac
0.826 0.750 0.676 Ac
0.320 0.000 0.815 Cu
0.320 0.500 0.815 Cu
0.680 0.000 0.185 Cu
0.680 0.500 0.185 Cu
0.332 0.750 0.157 As
0.668 0.250 0.843 As
0.122 0.250 0.715 H
0.223 0.750 0.618 H
0.777 0.250 0.382 H
0.878 0.750 0.285 H

***

# 4
AcHf2CuAs4 PBE relaxed; total magnetic moment = 0.000 μB/f.u.; space group = Cmcm; uncorrected energy = -6.74 eV per atom; mass density = 8.79 g/cm³
1.0
2.001 -6.612 0.000
2.001 6.612 0.000
0.000 0.000 13.528
Ac Hf Cu As
2 4 2 8
Direct
0.121 0.879 0.750 Ac
0.879 0.121 0.250 Ac
0.372 0.628 0.563 Hf
0.372 0.628 0.937 Hf
0.628 0.372 0.063 Hf
0.628 0.372 0.437 Hf
0.153 0.847 0.250 Cu
0.847 0.153 0.750 Cu
0.000 0.000 0.000 As
0.000 0.000 0.500 As
0.265 0.735 0.109 As
0.265 0.735 0.391 As
0.446 0.554 0.750 As
0.554 0.446 0.250 As
0.735 0.265 0.609 As
0.735 0.265 0.891 As

***

# 5
AcHfCuAs3 PBE relaxed; total magnetic moment = 0.000 μB/f.u.; space group = P2_1/m; uncorrected energy = -6.19 eV per atom; mass density = 8.11 g/cm³
1.0
8.249 0.000 0.000
0.000 4.002 0.000
-2.689 0.000 8.608
Ac Hf Cu As
2 2 2 6
Direct
0.201 0.250 0.246 Ac
0.799 0.750 0.754 Ac
0.325 0.750 0.850 Hf
0.675 0.250 0.150 Hf
0.087 0.250 0.593 Cu
0.913 0.750 0.407 Cu
0.108 0.250 0.871 As
0.231 0.750 0.534 As
0.455 0.750 0.167 As
0.545 0.250 0.833 As
0.769 0.250 0.466 As
0.892 0.750 0.129 As

***

# 6
Ac4CuAsI2 PBE relaxed; total magnetic moment = 0.000 μB/f.u.; E_form (uncorrected) = -0.91 eV/atom; space group = P2/m; uncorrected energy = -4.44 eV per atom; mass density = 7.39 g/cm³
1.0
8.071 0.000 0.000
0.000 4.420 0.000
-2.477 0.000 8.188
Ac Cu As I
4 1 1 2
Direct
0.221 0.000 0.197 Ac
0.265 0.500 0.796 Ac
0.735 0.500 0.204 Ac
0.779 0.000 0.803 Ac
0.000 0.500 0.000 Cu
0.500 0.000 0.000 As
0.000 0.000 0.500 I
0.500 0.500 0.500 I